Entry 1:
The following is a DFT calculation (PBE) of an optimized crystal structure of Tm3PbC2.

Output
- DFT formation energy (eV per atom) = -0.29
- N(E_F) (states/eV/atom) = 0.37
- space-group type = Pmc2_1, No. 26

Unit cell a=3.571 b=5.811 c=11.580 alpha=90.00 beta=90.00 gamma=90.00
Sites, in units of the cell vectors:
Tm (0.500, 0.155, 0.139)
Tm (0.500, 0.244, 0.665)
Tm (0.000, 0.214, 0.416)
Tm (0.500, 0.655, 0.861)
Tm (0.500, 0.744, 0.335)
Tm (0.000, 0.714, 0.584)
Pb (0.000, 0.139, 0.894)
Pb (0.000, 0.639, 0.106)
C (0.000, 0.977, 0.244)
C (0.500, 0.973, 0.510)
C (0.000, 0.477, 0.756)
C (0.500, 0.473, 0.490)

***

Entry 2:
The following is a DFT calculation (PBE) of an optimized crystal structure of P2OsSF.

Output
- uncorrected formation energy (eV/atom) = 0.4474
- N(E_F) (states/eV/atom) = 1.18
- space-group type = P4/mmm, No. 123
- distance to the lowest polymorph of the same formula (meV per atom) = 0

Unit cell a=4.580 b=4.580 c=4.613 alpha=90.00 beta=90.00 gamma=90.00
Site moments in Bohr magnetons follow the coordinates.
Sites, in units of the cell vectors:
P (0.000, 0.500, 0.000)  0.07
P (0.500, 0.000, 0.000)  0.07
S (0.000, 0.000, 0.500)  0.21
Os (0.000, 0.000, 0.000)  0.13
F (0.500, 0.500, 0.500)  0.03

***

Entry 3:
The following is a DFT calculation (PBE) of an optimized crystal structure of KBPt3.

Output
- DFT formation energy (eV per atom) = -0.08
- N(E_F) (states/eV/atom) = 0.30
- space-group type = Pnma, No. 62

Unit cell a=5.940 b=6.616 c=9.519 alpha=90.00 beta=90.00 gamma=90.00
Sites, in units of the cell vectors:
K (0.000, 0.000, 0.500)
K (0.500, 0.500, 0.000)
K (0.500, 0.000, 0.000)
K (0.000, 0.500, 0.500)
B (0.461, 0.250, 0.546)
B (0.039, 0.750, 0.046)
B (0.539, 0.750, 0.454)
B (0.961, 0.250, 0.954)
Pt (0.028, 0.949, 0.859)
Pt (0.472, 0.449, 0.359)
Pt (0.472, 0.051, 0.359)
Pt (0.972, 0.449, 0.141)
Pt (0.972, 0.051, 0.141)
Pt (0.528, 0.551, 0.641)
Pt (0.528, 0.949, 0.641)
Pt (0.028, 0.551, 0.859)
Pt (0.264, 0.250, 0.735)
Pt (0.236, 0.750, 0.235)
Pt (0.736, 0.750, 0.265)
Pt (0.764, 0.250, 0.765)

***

Entry 4:
The following is a DFT calculation (PBE) of an optimized crystal structure of FeSiC2.

Output
- uncorrected formation energy (eV/atom) = 0.2993
- N(E_F) (states/eV/atom) = 0.35
- space-group type = Pmm2, No. 25

Unit cell a=2.713 b=2.592 c=5.394 alpha=90.00 beta=90.00 gamma=90.00
Sites, in units of the cell vectors:
C (0.000, 0.500, 0.461)
C (0.000, 0.000, 0.583)
Si (0.000, 0.500, 0.106)
Fe (0.500, 0.000, 0.857)

***

Entry 5:
The following is a DFT calculation (PBE) of an optimized crystal structure of Rb5CuI8.

Output
- uncorrected formation energy (eV/atom) = -1.0014
- N(E_F) (states/eV/atom) = 0.99
- space-group type = I-4, No. 82

Unit cell a=9.757 b=9.757 c=9.757 alpha=113.11 beta=102.43 gamma=113.11
Sites, in units of the cell vectors:
Rb (0.027, 0.419, 0.165)
Rb (0.835, 0.862, 0.253)
Rb (0.747, 0.581, 0.609)
Rb (0.500, 0.000, 0.500)
Rb (0.391, 0.138, 0.973)
Cu (0.250, 0.500, 0.750)
I (0.156, 0.677, 0.938)
I (0.062, 0.218, 0.738)
I (0.721, 0.198, 0.303)
I (0.697, 0.418, 0.895)
I (0.477, 0.582, 0.279)
I (0.520, 0.782, 0.844)
I (0.262, 0.323, 0.480)
I (0.105, 0.802, 0.523)

***

Entry 6:
The following is a DFT calculation (PBE) of an optimized crystal structure of NdMgZrIn.

Output
- DFT formation energy (eV per atom) = -0.16
- N(E_F) (states/eV/atom) = 0.59
- space-group type = F-43m, No. 216

Unit cell a=5.223 b=5.223 c=5.223 alpha=60.00 beta=60.00 gamma=60.00
Sites, in units of the cell vectors:
Mg (0.000, 0.000, 0.000)
Nd (0.250, 0.250, 0.250)
Zr (0.750, 0.750, 0.750)
In (0.500, 0.500, 0.500)

***

Number 1: ρ 10201 kg/m³. Number 2: ρ 5204 kg/m³. Number 3: ρ 11277 kg/m³. Number 4: ρ 4725 kg/m³. Number 5: ρ 3538 kg/m³. Number 6: ρ 6173 kg/m³.